No. 1
Here is TlInHg2Br8 after structural relaxation from Alexandria via LeMat-Bulk. Energies are from GGA-PBE.

```
TlInHg2Br8
1.0
6.889 -0.428 0.161
-0.375 7.675 1.315
0.202 1.886 9.211
Tl In Hg Br
1 1 2 8
Cartesian
0.101 0.943 4.605
0.000 0.000 0.000
3.175 3.209 6.930
3.540 5.924 3.757
0.813 6.479 3.528
4.618 5.195 1.514
5.388 0.972 1.815
5.902 2.655 7.158
2.097 3.938 9.173
1.327 8.162 8.872
3.848 6.247 6.297
2.867 2.886 4.389
```



No. 2
Here is Y3ZrAg3Se8 after structural relaxation from Alexandria via LeMat-Bulk. Energies are from GGA-PBE.

```
Y3ZrAg3Se8
1.0
-8.071 1.353 0.620
2.750 -6.807 -3.671
0.778 0.942 8.066
Y Zr Ag Se
3 1 3 8
Cartesian
-3.647 1.148 4.343
-2.272 -2.256 2.508
1.764 -2.932 2.198
0.389 0.471 4.033
0.000 0.000 0.000
1.375 -3.403 -1.835
-2.661 -2.727 -1.525
-0.447 -2.832 0.355
-4.096 -1.679 4.660
-4.503 -2.284 0.689
-0.041 -2.227 4.326
-5.938 1.268 2.603
1.394 -5.779 2.412
-1.726 0.562 2.279
-2.817 -5.073 2.736
```



| no. | raw formation energy (eV per atom) | magnetization (μB per formula unit) | energy (eV per atom) |
| --- | --- | --- | --- |
| 1 | -0.625 | 0.00 | -2.216 |
| 2 | -1.190 | 0.00 | -5.481 |